Record 1
First-principles (PBE-GGA) data for a relaxed YRePt2 crystal, as listed in Alexandria.

a = 4.083 Å, b = 4.083 Å, c = 8.561 Å
α = 90.00°, β = 90.00°, γ = 90.00°
Space group I-4m2 (No. 119)
Unique sites:
Y 0.000 0.000 0.000 [2 per cell]
Re 0.000 0.500 0.250 [2 per cell]
Pt 0.000 0.000 0.500 [2 per cell]
Pt 0.000 0.500 0.750 [2 per cell]

Computed properties:
ΔE_f = -0.167 eV/atom

Record 2
First-principles (PBE-GGA) data for a relaxed Zn4RePt crystal, as listed in Alexandria.

a = 6.966 Å, b = 6.966 Å, c = 6.966 Å
α = 90.00°, β = 90.00°, γ = 90.00°
Space group F-43m (No. 216)
Unique sites:
Zn 0.124 0.124 0.376 [16 per cell]
Re 0.250 0.250 0.750 [4 per cell]
Pt 0.000 0.000 0.000 [4 per cell]

Computed properties:
ΔE_f = 0.198 eV/atom

Record 3
First-principles (PBE-GGA) data for a relaxed Zn3RePt12 crystal, as listed in Alexandria.

a = 3.936 Å, b = 3.936 Å, c = 15.731 Å
α = 90.00°, β = 90.00°, γ = 90.00°
Space group P4/mmm (No. 123)
Unique sites:
Zn 0.000 0.000 0.000 [1 per cell]
Zn 0.000 0.000 0.246 [2 per cell]
Re 0.000 0.000 0.500 [1 per cell]
Pt 0.000 0.500 0.124 [4 per cell]
Pt 0.000 0.500 0.377 [4 per cell]
Pt 0.500 0.500 0.000 [1 per cell]
Pt 0.500 0.500 0.250 [2 per cell]
Pt 0.500 0.500 0.500 [1 per cell]

Computed properties:
ΔE_f = -0.276 eV/atom

Record 4
First-principles (PBE-GGA) data for a relaxed ZnRePt4 crystal, as listed in Alexandria.

a = 7.383 Å, b = 7.383 Å, c = 7.383 Å
α = 90.00°, β = 90.00°, γ = 90.00°
Space group F-43m (No. 216)
Unique sites:
Zn 0.000 0.000 0.000 [4 per cell]
Re 0.250 0.250 0.250 [4 per cell]
Pt 0.125 0.125 0.625 [16 per cell]

Computed properties:
ΔE_f = 0.400 eV/atom

Record 5
First-principles (PBE-GGA) data for a relaxed ZnRe4Pt crystal, as listed in Alexandria.

a = 7.318 Å, b = 7.318 Å, c = 7.318 Å
α = 90.00°, β = 90.00°, γ = 90.00°
Space group F-43m (No. 216)
Unique sites:
Zn 0.000 0.000 0.000 [4 per cell]
Re 0.125 0.125 0.375 [16 per cell]
Pt 0.250 0.250 0.750 [4 per cell]

Computed properties:
ΔE_f = 0.563 eV/atom

Record 6
First-principles (PBE-GGA) data for a relaxed ZrRe2Pt crystal, as listed in Alexandria.

a = 6.434 Å, b = 6.434 Å, c = 6.434 Å
α = 90.00°, β = 90.00°, γ = 90.00°
Space group Fm-3m (No. 225)
Unique sites:
Zr 0.000 0.000 0.000 [4 per cell]
Re 0.250 0.250 0.250 [8 per cell]
Pt 0.000 0.000 0.500 [4 per cell]

Computed properties:
ΔE_f = 0.248 eV/atom

Record 7
First-principles (PBE-GGA) data for a relaxed ZrRePt crystal, as listed in Alexandria.

a = 2.8431 Å, b = 2.8431 Å, c = 7.3124 Å
α = 90.00°, β = 90.00°, γ = 120.00°
Space group P3m1 (No. 156)
Unique sites:
Zr 0.0000 0.0000 0.0000 [1 per cell]
Re 0.6667 0.3333 0.6470 [1 per cell]
Pt 0.3333 0.6667 0.3391 [1 per cell]

Computed properties:
ΔE_f = -0.021 eV/atom

Record 8
First-principles (PBE-GGA) data for a relaxed Zr2RePt crystal, as listed in Alexandria.

a = 2.847 Å, b = 2.847 Å, c = 9.144 Å
α = 90.00°, β = 90.00°, γ = 90.00°
Space group P4mm (No. 99)
Unique sites:
Zr 0.000 0.000 0.000 [1 per cell]
Zr 0.500 0.500 0.296 [1 per cell]
Re 0.500 0.500 0.747 [1 per cell]
Pt 0.000 0.000 0.545 [1 per cell]

Computed properties:
ΔE_f = -0.084 eV/atom